No. 1
The following is a DFT calculation (PBE-GGA) of an optimized crystal structure of PrSn3Au3. Values from VASP.

- N(E_F): 7.45 states/eV per cell
- ΔH_f (0 K): -0.37 eV/atom
- DFT total energy: -4.17 eV/atom
- E above lowest polymorph: 0.000 eV/atom

Geometry as Quantum ESPRESSO input:
```
&SYSTEM
  ibrav = 0, nat = 14, ntyp = 3
/
ATOMIC_SPECIES
Sn 118.71 Sn.upf
Au 196.97 Au.upf
Pr 140.91 Pr.upf
CELL_PARAMETERS angstrom
-3.053 7.492 -2.585
-0.230 1.862 -8.283
-6.622 0.733 -4.005
ATOMIC_POSITIONS crystal
Sn 0.906 0.596 0.278
Sn 0.404 0.780 0.722
Sn 0.094 0.404 0.722
Au 0.572 0.919 0.248
Sn 0.596 0.220 0.278
Au 0.739 0.428 0.752
Sn 0.780 0.094 0.722
Au 0.261 0.572 0.248
Pr 0.333 0.333 0.000
Au 0.081 0.739 0.752
Pr 0.667 0.667 0.000
Au 0.919 0.261 0.248
Au 0.428 0.081 0.752
Sn 0.220 0.906 0.278
```

---

No. 2
The following is a DFT calculation (PBE-GGA) of an optimized crystal structure of PmNdThIn. Values from VASP.

- N(E_F): 7.06 states/eV per cell
- ΔH_f (0 K): -0.05 eV/atom
- DFT total energy: -4.97 eV/atom

Geometry as Quantum ESPRESSO input:
```
&SYSTEM
  ibrav = 0, nat = 4, ntyp = 4
/
ATOMIC_SPECIES
Pm 145.00 Pm.upf
Th 232.04 Th.upf
Nd 144.24 Nd.upf
In 114.82 In.upf
CELL_PARAMETERS angstrom
5.565 0.000 0.000
2.782 4.819 0.000
2.782 1.606 4.544
ATOMIC_POSITIONS crystal
Pm 0.250 0.250 0.250
Th 0.000 0.000 0.000
Nd 0.750 0.750 0.750
In 0.500 0.500 0.500
```

---

No. 3
The following is a DFT calculation (PBE-GGA) of an optimized crystal structure of Ac3Ag4Sn2. Values from VASP.

- N(E_F): 3.30 states/eV per cell
- ΔH_f (0 K): -0.48 eV/atom
- DFT total energy: -4.01 eV/atom

Geometry as Quantum ESPRESSO input:
```
&SYSTEM
  ibrav = 0, nat = 9, ntyp = 3
/
ATOMIC_SPECIES
Ac 227.00 Ac.upf
Ag 107.87 Ag.upf
Sn 118.71 Sn.upf
CELL_PARAMETERS angstrom
-4.562 -1.465 0.812
3.785 -0.874 5.142
-2.943 9.095 -0.125
ATOMIC_POSITIONS crystal
Ac 0.663 0.327 0.669
Ag 0.717 0.434 0.050
Ac 0.000 0.000 0.000
Ag 0.062 0.124 0.398
Sn 0.387 0.773 0.721
Sn 0.613 0.227 0.279
Ac 0.337 0.673 0.331
Ag 0.938 0.876 0.602
Ag 0.283 0.566 0.950
```

---

No. 4
The following is a DFT calculation (PBE-GGA) of an optimized crystal structure of BaNbZn2. Values from VASP.

- N(E_F): 5.54 states/eV per cell
- ΔH_f (0 K): 0.58 eV/atom
- DFT total energy: -3.05 eV/atom
- E above lowest polymorph: 0.016 eV/atom

Geometry as Quantum ESPRESSO input:
```
&SYSTEM
  ibrav = 0, nat = 8, ntyp = 3
/
ATOMIC_SPECIES
Zn 65.41 Zn.upf
Ba 137.33 Ba.upf
Nb 92.91 Nb.upf
CELL_PARAMETERS angstrom
5.075 0.000 0.000
0.000 5.075 0.000
2.537 2.537 9.560
ATOMIC_POSITIONS crystal
Zn 0.375 0.625 0.750
Ba 0.750 0.250 0.500
Ba 0.000 0.000 0.000
Nb 0.500 0.500 0.000
Zn 0.375 0.625 0.250
Nb 0.250 0.750 0.500
Zn 0.375 0.125 0.250
Zn 0.875 0.625 0.750
```

---

No. 5
The following is a DFT calculation (PBE-GGA) of an optimized crystal structure of LiTa2Bi. Values from VASP.

- N(E_F): 4.67 states/eV per cell
- ΔH_f (0 K): 0.60 eV/atom
- DFT total energy: -6.78 eV/atom

Geometry as Quantum ESPRESSO input:
```
&SYSTEM
  ibrav = 0, nat = 8, ntyp = 3
/
ATOMIC_SPECIES
Li 6.94 Li.upf
Ta 180.95 Ta.upf
Bi 208.98 Bi.upf
CELL_PARAMETERS angstrom
3.923 0.000 0.000
0.000 3.923 0.000
1.962 1.962 10.644
ATOMIC_POSITIONS crystal
Li 0.500 0.500 0.000
Ta 0.875 0.878 0.750
Ta 0.375 0.372 0.750
Bi 0.750 0.250 0.500
Bi 0.000 0.000 0.000
Ta 0.122 0.625 0.250
Li 0.250 0.750 0.500
Ta 0.628 0.125 0.250
```

---

No. 6
The following is a DFT calculation (PBE-GGA) of an optimized crystal structure of UTaNi. Values from VASP.

- N(E_F): 9.87 states/eV per cell
- ΔH_f (0 K): 0.32 eV/atom
- DFT total energy: -9.32 eV/atom

Geometry as Quantum ESPRESSO input:
```
&SYSTEM
  ibrav = 0, nat = 6, ntyp = 3
/
ATOMIC_SPECIES
Ni 58.69 Ni.upf
U 238.03 U.upf
Ta 180.95 Ta.upf
CELL_PARAMETERS angstrom
3.144 0.000 0.000
-1.572 2.723 0.000
0.000 0.000 12.274
ATOMIC_POSITIONS crystal
Ni 0.667 0.333 0.070
U 0.667 0.333 0.582
Ta 0.000 0.000 0.786
U 0.333 0.667 0.418
Ni 0.333 0.667 0.930
Ta 0.000 0.000 0.214
```

---

No. 7
The following is a DFT calculation (PBE-GGA) of an optimized crystal structure of TlICl. Values from VASP.

- N(E_F): 4.49 states/eV per cell
- DFT total energy: -2.38 eV/atom
- Formation energy (no corrections): -0.46 eV per atom
- E above lowest polymorph: 0.210 eV/atom

Geometry as Quantum ESPRESSO input:
```
&SYSTEM
  ibrav = 0, nat = 3, ntyp = 3
/
ATOMIC_SPECIES
Cl 35.45 Cl.upf
I 126.90 I.upf
Tl 204.38 Tl.upf
CELL_PARAMETERS angstrom
-0.737 -0.047 -4.338
4.101 -0.421 1.539
-0.741 -6.511 0.196
ATOMIC_POSITIONS crystal
Cl 0.333 0.667 0.589
I 0.000 0.000 0.055
Tl 0.667 0.333 0.356
```

---

No. 8
The following is a DFT calculation (PBE-GGA) of an optimized crystal structure of TcP2Au. Values from VASP.

- N(E_F): 1.61 states/eV per cell
- ΔH_f (0 K): 0.00 eV/atom
- DFT total energy: -6.11 eV/atom
- E above lowest polymorph: 0.155 eV/atom

Geometry as Quantum ESPRESSO input:
```
&SYSTEM
  ibrav = 0, nat = 4, ntyp = 3
/
ATOMIC_SPECIES
P 30.97 P.upf
Tc 98.00 Tc.upf
Au 196.97 Au.upf
CELL_PARAMETERS angstrom
-2.162 -5.255 -3.514
1.508 -6.430 -1.005
-1.385 5.373 3.721
ATOMIC_POSITIONS crystal
P 0.315 0.815 0.500
Tc 0.466 0.466 0.000
Au 0.687 0.187 0.500
P 0.032 0.032 0.000
```

---

No. 9
The following is a DFT calculation (PBE-GGA) of an optimized crystal structure of AcInSn2Rh5. Values from VASP.

- N(E_F): 5.57 states/eV per cell
- ΔH_f (0 K): -0.09 eV/atom
- DFT total energy: -5.82 eV/atom

Geometry as Quantum ESPRESSO input:
```
&SYSTEM
  ibrav = 0, nat = 9, ntyp = 4
/
ATOMIC_SPECIES
Rh 102.91 Rh.upf
Sn 118.71 Sn.upf
In 114.82 In.upf
Ac 227.00 Ac.upf
CELL_PARAMETERS angstrom
4.884 0.000 0.000
0.000 4.884 0.000
0.000 0.000 7.900
ATOMIC_POSITIONS crystal
Rh 0.000 0.500 0.243
Rh 0.500 0.500 0.500
Sn 0.500 0.500 0.828
In 0.000 0.000 0.000
Ac 0.000 0.000 0.500
Sn 0.500 0.500 0.172
Rh 0.500 0.000 0.243
Rh 0.500 0.000 0.757
Rh 0.000 0.500 0.757
```

---

No. 10
The following is a DFT calculation (PBE-GGA) of an optimized crystal structure of Sc4PS2O. Values from VASP.

- N(E_F): 3.96 states/eV per cell
- DFT total energy: -7.45 eV/atom
- Formation energy (no corrections): -1.96 eV per atom

Geometry as Quantum ESPRESSO input:
```
&SYSTEM
  ibrav = 0, nat = 8, ntyp = 4
/
ATOMIC_SPECIES
S 32.06 S.upf
Sc 44.96 Sc.upf
O 16.00 O.upf
P 30.97 P.upf
CELL_PARAMETERS angstrom
-1.117 -3.392 0.256
3.661 -1.563 -4.740
3.208 -0.651 5.379
ATOMIC_POSITIONS crystal
S 0.500 0.000 0.500
Sc 0.000 0.237 0.775
O 0.000 0.000 0.000
P 0.500 0.500 0.000
Sc 0.500 0.775 0.780
S 0.000 0.500 0.500
Sc 0.000 0.763 0.225
Sc 0.500 0.225 0.220
```

---

No. 11
The following is a DFT calculation (PBE-GGA) of an optimized crystal structure of Ce2Al4HgAu3. Values from VASP.

- N(E_F): 14.59 states/eV per cell
- ΔH_f (0 K): -0.59 eV/atom
- DFT total energy: -4.29 eV/atom

Geometry as Quantum ESPRESSO input:
```
&SYSTEM
  ibrav = 0, nat = 10, ntyp = 4
/
ATOMIC_SPECIES
Al 26.98 Al.upf
Ce 140.12 Ce.upf
Au 196.97 Au.upf
Hg 200.59 Hg.upf
CELL_PARAMETERS angstrom
4.434 0.000 0.000
0.000 4.434 0.000
0.000 0.000 10.619
ATOMIC_POSITIONS crystal
Al 0.000 0.500 0.360
Ce 0.500 0.000 0.248
Au 0.000 0.500 0.126
Au 0.000 0.000 0.500
Al 0.500 0.500 0.000
Au 0.500 0.000 0.874
Al 0.000 0.000 0.000
Hg 0.500 0.500 0.500
Al 0.500 0.000 0.640
Ce 0.000 0.500 0.752
```

---

No. 12
The following is a DFT calculation (PBE-GGA) of an optimized crystal structure of YTcNiGe2. Values from VASP.

- N(E_F): 2.59 states/eV per cell
- ΔH_f (0 K): -0.55 eV/atom
- DFT total energy: -6.92 eV/atom

Geometry as Quantum ESPRESSO input:
```
&SYSTEM
  ibrav = 0, nat = 5, ntyp = 4
/
ATOMIC_SPECIES
Ge 72.64 Ge.upf
Ni 58.69 Ni.upf
Y 88.91 Y.upf
Tc 98.00 Tc.upf
CELL_PARAMETERS angstrom
-1.821 -3.614 -0.650
0.818 -1.107 3.860
-4.028 4.366 -0.070
ATOMIC_POSITIONS crystal
Ge 0.624 0.624 0.249
Ni 0.250 0.750 0.500
Y 0.000 0.000 0.000
Ge 0.376 0.376 0.751
Tc 0.750 0.250 0.500
```

---

How do the records compare in volume? In the order shown, they have 26.915; 30.461; 28.913; 30.777; 20.476; 17.517; 36.644; 16.264; 20.936; 16.488; 20.880; 17.423 A^3/atom.